The following is a DFT calculation (PBE) of a relaxed structure of AlCdBr2.

- DOS(E_F): 0.0075 states/eV/atom
- Final energy: -18.618 eV per cell
- Symmetry: I-42d (122)
- Energy relative to the elements, uncorrected: -326 meV/atom

Lattice parameters (Å, degrees): 8.259 8.259 8.286 60.11 60.11 90.00
Sites, in units of the cell vectors:
Al: 0.500 0.500 0.000
Al: 0.250 0.750 0.500
Br: 0.374 0.125 0.250
Br: 0.376 0.625 0.250
Br: 0.375 0.626 0.750
Br: 0.875 0.624 0.750
Cd: 0.000 0.000 0.000
Cd: 0.750 0.250 0.500



The following is a DFT calculation (PBE) of a relaxed structure of NiC.

- DOS(E_F): 0.6112 states/eV/atom
- Final energy: -26.597 eV per cell
- Symmetry: Imma (74)
- ΔH_f (0 K): 1.71 eV/f.u.

Lattice parameters (Å, degrees): 5.537 5.537 5.537 154.36 151.35 38.82
Sites, in units of the cell vectors:
Ni: 0.850 0.100 0.250
Ni: 0.150 0.900 0.750
C: 0.463 0.713 0.250
C: 0.537 0.287 0.750



The lowest final energy belongs to which entry? NiC